Record 1
Here is LiYBiO after structural relaxation from the Alexandria database. Energies are from GGA-PBE.

final energy: -5.72 eV per atom
total magnetization: 0.000 μB/f.u.

a b c (Å): 4.3034 4.5143 4.7160
angles (deg): 90.00 90.00 90.00
Last column: nearest neighbours and their distance in Å.
Atoms (fractional coordinates):
Li (0.0000, 0.0000, 0.0000)  2 O 2.26
Y (0.5000, 0.5000, 0.0000)  2 O 2.15
Bi (0.5000, 0.0000, 0.5000)  4 Li 3.19, 4 Y 3.26
O (0.0000, 0.5000, 0.0000)  2 Y 2.15, 2 Li 2.26



Record 2
Here is Li2YBiO4 after structural relaxation from the Alexandria database. Energies are from GGA-PBE.

final energy: -6.32 eV per atom
total magnetization: 0.000 μB/f.u.

a b c (Å): 6.7206 6.7206 6.5939
angles (deg): 115.70 115.70 98.13
Last column: nearest neighbours and their distance in Å.
Atoms (fractional coordinates):
Li (0.0000, 0.0000, 0.0000)  2 O 2.06
Li (0.0000, 0.0000, 0.5000)  2 O 2.06
Li (0.0000, 0.5000, 0.0000)  2 O 2.13
Li (0.5000, 0.0000, 0.5000)  2 O 2.13
Y (0.0000, 0.5000, 0.5000)  6 O 2.29-2.32
Y (0.5000, 0.0000, 0.0000)  6 O 2.29-2.32
Bi (0.5000, 0.5000, 0.0000)  6 O 2.37-2.43
Bi (0.5000, 0.5000, 0.5000)  6 O 2.37-2.43
O (0.2156, 0.2608, 0.5129)  1 Li 2.06
O (0.2372, 0.7116, 0.9671)  1 Li 2.13, 2 Y 2.29-2.31
O (0.2608, 0.2156, 0.0129)  1 Li 2.06
O (0.2884, 0.7628, 0.5329)  1 Li 2.13, 2 Y 2.29-2.31
O (0.7116, 0.2372, 0.4671)  1 Li 2.13, 2 Y 2.29-2.31
O (0.7392, 0.7844, 0.9871)  1 Li 2.06
O (0.7628, 0.2884, 0.0329)  1 Li 2.13, 2 Y 2.29-2.31
O (0.7844, 0.7392, 0.4871)  1 Li 2.06



Record 3
Here is LiY2BiO after structural relaxation from the Alexandria database. Energies are from GGA-PBE.

final energy: -6.17 eV per atom
total magnetization: 0.000 μB/f.u.

a b c (Å): 4.8249 4.8249 4.3396
angles (deg): 90.00 90.00 90.00
Last column: nearest neighbours and their distance in Å.
Atoms (fractional coordinates):
Li (0.0000, 0.0000, 0.0000)  2 O 2.17
Y (0.0000, 0.5000, 0.5000)  2 O 2.41
Y (0.5000, 0.0000, 0.5000)  2 O 2.41
Bi (0.5000, 0.5000, 0.0000)  8 Y 3.24, 4 Li 3.41
O (0.0000, 0.0000, 0.5000)  2 Li 2.17, 4 Y 2.41



Record 4
Here is Li2YBiO after structural relaxation from the Alexandria database. Energies are from GGA-PBE.

final energy: -5.34 eV per atom
total magnetization: 0.000 μB/f.u.

a b c (Å): 4.4470 4.4470 4.5640
angles (deg): 90.00 90.00 90.00
Last column: nearest neighbours and their distance in Å.
Atoms (fractional coordinates):
Li (0.0000, 0.5000, 0.0000)  2 O 2.22
Li (0.5000, 0.0000, 0.0000)  2 O 2.22
Y (0.0000, 0.0000, 0.5000)  2 O 2.28
Bi (0.5000, 0.5000, 0.5000)  4 Y 3.14, 8 Li 3.19
O (0.0000, 0.0000, 0.0000)  4 Li 2.22, 2 Y 2.28



Record 5
Here is LiYBiO4 after structural relaxation from the Alexandria database. Energies are from GGA-PBE.

final energy: -6.59 eV per atom
total magnetization: 0.879 μB/f.u.

a b c (Å): 5.7676 5.7676 6.9401
angles (deg): 90.00 90.00 115.47
Last column: nearest neighbours and their distance in Å.
Atoms (fractional coordinates):
Li (0.1547, 0.8453, 0.7500)  4 O 1.97-2.13
Li (0.8453, 0.1547, 0.2500)  4 O 1.97-2.13
Y (0.5000, 0.5000, 0.0000)  6 O 2.26-2.32
Y (0.5000, 0.5000, 0.5000)  6 O 2.26-2.32
Bi (0.1576, 0.8424, 0.2500)  4 O 2.14-2.20
Bi (0.8424, 0.1576, 0.7500)  4 O 2.14-2.20
O (0.2459, 0.2528, 0.2500)  1 Li 2.13, 1 Bi 2.20, 2 Y 2.32
O (0.2528, 0.2459, 0.7500)  1 Li 2.13, 1 Bi 2.20, 2 Y 2.32
O (0.2687, 0.7313, 0.5159)  1 Li 1.97, 1 Bi 2.14
O (0.2687, 0.7313, 0.9841)  1 Li 1.97, 1 Bi 2.14
O (0.7313, 0.2687, 0.0159)  1 Li 1.97, 1 Bi 2.14
O (0.7313, 0.2687, 0.4841)  1 Li 1.97, 1 Bi 2.14
O (0.7472, 0.7541, 0.2500)  1 Li 2.13, 1 Bi 2.20, 2 Y 2.32
O (0.7541, 0.7472, 0.7500)  1 Li 2.13, 1 Bi 2.20, 2 Y 2.32



Record 6
Here is LiY2BiO6 after structural relaxation from the Alexandria database. Energies are from GGA-PBE.

final energy: -7.20 eV per atom
total magnetization: 0.000 μB/f.u.

a b c (Å): 6.1043 6.1043 6.1043
angles (deg): 55.51 55.51 55.51
Last column: nearest neighbours and their distance in Å.
Atoms (fractional coordinates):
Li (0.0000, 0.0000, 0.0000)  3 O 2.07
Y (0.2554, 0.2554, 0.2554)  6 O 2.27-2.37
Y (0.7580, 0.7580, 0.7580)  6 O 2.25-2.36
Bi (0.4602, 0.4602, 0.4602)  6 O 2.12-2.19
O (0.0806, 0.6585, 0.3589)  1 Li 2.07, 1 Bi 2.19, 1 Y 2.25
O (0.1826, 0.5552, 0.8370)  1 Bi 2.12, 2 Y 2.27-2.36
O (0.3589, 0.0806, 0.6585)  1 Li 2.07, 1 Bi 2.19, 1 Y 2.25
O (0.5552, 0.8370, 0.1826)  1 Bi 2.12, 2 Y 2.27-2.36
O (0.6585, 0.3589, 0.0806)  1 Li 2.07, 1 Bi 2.19, 1 Y 2.25
O (0.8370, 0.1826, 0.5552)  1 Bi 2.12, 2 Y 2.27-2.36



Record 7
Here is Li2ZnBiO4 after structural relaxation from the Alexandria database. Energies are from GGA-PBE.

final energy: -5.04 eV per atom
total magnetization: 0.691 μB/f.u.

a b c (Å): 5.6723 5.6723 5.6723
angles (deg): 129.79 129.79 73.75
Last column: nearest neighbours and their distance in Å.
Atoms (fractional coordinates):
Li (0.2500, 0.7500, 0.5000)  4 O 2.02
Li (0.7500, 0.2500, 0.5000)  4 O 2.02
Zn (0.0000, 0.0000, 0.0000)  4 O 2.00
Bi (0.5000, 0.5000, 0.0000)  4 O 2.16
O (0.1045, 0.1045, 0.4719)  1 Zn 2.00, 2 Li 2.02, 1 Bi 2.16
O (0.3674, 0.8955, 0.0000)  1 Zn 2.00, 2 Li 2.02, 1 Bi 2.16
O (0.6326, 0.6326, 0.5281)  1 Zn 2.00, 2 Li 2.02, 1 Bi 2.16
O (0.8955, 0.3674, 0.0000)  1 Zn 2.00, 2 Li 2.02, 1 Bi 2.16



Record 8
Here is LiZnBi2O6 after structural relaxation from the Alexandria database. Energies are from GGA-PBE.

final energy: -5.24 eV per atom
total magnetization: 0.000 μB/f.u.

a b c (Å): 5.8963 5.8963 5.8963
angles (deg): 55.68 55.68 55.68
Last column: nearest neighbours and their distance in Å.
Atoms (fractional coordinates):
Li (0.0000, 0.0000, 0.0000)  3 O 2.08
Zn (0.5115, 0.5115, 0.5115)  6 O 2.05-2.29
Bi (0.2188, 0.2188, 0.2188)  6 O 2.15-2.21
Bi (0.7213, 0.7213, 0.7213)  6 O 2.21-2.27
O (0.1344, 0.4204, 0.8121)  1 Zn 2.05, 2 Bi 2.21
O (0.3185, 0.9200, 0.6135)  1 Li 2.08, 2 Bi 2.15-2.27, 1 Zn 2.29
O (0.4204, 0.8121, 0.1344)  1 Zn 2.05, 2 Bi 2.21
O (0.6135, 0.3185, 0.9200)  1 Li 2.08, 2 Bi 2.15-2.27, 1 Zn 2.29
O (0.8121, 0.1344, 0.4204)  1 Zn 2.05, 2 Bi 2.21
O (0.9200, 0.6135, 0.3185)  1 Li 2.08, 2 Bi 2.15-2.27, 1 Zn 2.29



Record 9
Here is LiBi3Os after structural relaxation from the Alexandria database. Energies are from GGA-PBE.

final energy: -4.34 eV per atom
energy of formation: 0.62 eV/atom
total magnetization: 0.000 μB/f.u.
relative energy among the computed polymorphs: 0 meV per atom

a b c (Å): 5.3742 5.3742 5.3742
angles (deg): 90.00 90.00 90.00
Last column: nearest neighbours and their distance in Å.
Atoms (fractional coordinates):
Li (0.0000, 0.0000, 0.0000)  12 Bi 3.80
Bi (0.0000, 0.5000, 0.5000)  2 Os 2.69
Bi (0.5000, 0.0000, 0.5000)  2 Os 2.69
Bi (0.5000, 0.5000, 0.0000)  2 Os 2.69
Os (0.5000, 0.5000, 0.5000)  6 Bi 2.69



Record 10
Here is LiBi3Os after structural relaxation from the Alexandria database. Energies are from GGA-PBE.

final energy: -3.84 eV per atom
energy of formation: 1.11 eV/atom
total magnetization: 0.000 μB/f.u.
relative energy among the computed polymorphs: 494 meV per atom

a b c (Å): 4.9524 4.9524 4.9524
angles (deg): 90.00 90.00 90.00
Last column: nearest neighbours and their distance in Å.
Atoms (fractional coordinates):
Li (0.0000, 0.0000, 0.0000)  6 Bi 2.48
Bi (0.0000, 0.0000, 0.5000)  2 Li 2.48
Bi (0.0000, 0.5000, 0.0000)  2 Li 2.48
Bi (0.5000, 0.0000, 0.0000)  2 Li 2.48
Os (0.5000, 0.5000, 0.5000)  12 Bi 3.50



Record 11
Here is RbLiBi2Os after structural relaxation from the Alexandria database. Energies are from GGA-PBE.

final energy: -2.31 eV per atom
energy of formation: 2.06 eV/atom
total magnetization: 2.266 μB/f.u.

a b c (Å): 5.9922 5.9922 4.4225
angles (deg): 90.00 90.00 90.00
Last column: nearest neighbours and their distance in Å.
Atoms (fractional coordinates):
Rb (0.0000, 0.0000, 0.0000)  2 Li 2.21
Li (0.0000, 0.0000, 0.5000)  2 Rb 2.21
Bi (0.0000, 0.5000, 0.0000)  2 Rb 3.00
Bi (0.5000, 0.0000, 0.0000)  2 Rb 3.00
Os (0.5000, 0.5000, 0.5000)  8 Bi 3.72



Record 12
Here is LiReBiOs2 after structural relaxation from the Alexandria database. Energies are from GGA-PBE.

final energy: -6.44 eV per atom
energy of formation: 1.70 eV/atom
total magnetization: 2.191 μB/f.u.
relative energy among the computed polymorphs: 129 meV per atom

a b c (Å): 4.2894 4.2894 4.3734
angles (deg): 90.00 90.00 90.00
Last column: nearest neighbours and their distance in Å.
Atoms (fractional coordinates):
Li (0.0000, 0.0000, 0.0000)  4 Os 2.14, 2 Bi 2.19
Re (0.5000, 0.5000, 0.5000)  4 Bi 3.03, 8 Os 3.06
Bi (0.0000, 0.0000, 0.5000)  2 Li 2.19
Os (0.0000, 0.5000, 0.0000)  2 Li 2.14
Os (0.5000, 0.0000, 0.0000)  2 Li 2.14



Record 13
Here is LiReBiOs2 after structural relaxation from the Alexandria database. Energies are from GGA-PBE.

final energy: -6.57 eV per atom
energy of formation: 1.57 eV/atom
total magnetization: 2.334 μB/f.u.
relative energy among the computed polymorphs: 0 meV per atom

a b c (Å): 4.3066 4.3066 4.3157
angles (deg): 90.00 90.00 90.00
Last column: nearest neighbours and their distance in Å.
Atoms (fractional coordinates):
Li (0.0000, 0.0000, 0.0000)  4 Os 2.15, 2 Re 2.16
Re (0.0000, 0.0000, 0.5000)  2 Li 2.16
Bi (0.5000, 0.5000, 0.5000)  4 Re 3.05, 8 Os 3.05
Os (0.0000, 0.5000, 0.0000)  2 Li 2.15
Os (0.5000, 0.0000, 0.0000)  2 Li 2.15



Record 14
Here is LiTa2BiOs after structural relaxation from the Alexandria database. Energies are from GGA-PBE.

final energy: -6.99 eV per atom
energy of formation: 1.16 eV/atom
total magnetization: 0.000 μB/f.u.

a b c (Å): 4.5214 4.5214 4.3249
angles (deg): 90.00 90.00 90.00
Last column: nearest neighbours and their distance in Å.
Atoms (fractional coordinates):
Li (0.0000, 0.0000, 0.0000)  2 Os 2.16, 4 Ta 2.26
Ta (0.0000, 0.5000, 0.0000)  2 Li 2.26
Ta (0.5000, 0.0000, 0.0000)  2 Li 2.26
Bi (0.5000, 0.5000, 0.5000)  8 Ta 3.13, 4 Os 3.20
Os (0.0000, 0.0000, 0.5000)  2 Li 2.16



Record 15
Here is LiTiBiOs2 after structural relaxation from the Alexandria database. Energies are from GGA-PBE.

final energy: -5.98 eV per atom
energy of formation: 1.25 eV/atom
total magnetization: 0.000 μB/f.u.

a b c (Å): 4.6263 4.6263 5.2593
angles (deg): 90.00 90.00 90.00
Last column: nearest neighbours and their distance in Å.
Atoms (fractional coordinates):
Li (0.0000, 0.0000, 0.0000)  4 Bi 3.27, 8 Os 3.50
Ti (0.5000, 0.5000, 0.5000)  4 Os 2.31
Bi (0.5000, 0.5000, 0.0000)  2 Ti 2.63
Os (0.0000, 0.5000, 0.5000)  2 Ti 2.31
Os (0.5000, 0.0000, 0.5000)  2 Ti 2.31



Record 16
Here is LiTlBi2Os after structural relaxation from the Alexandria database. Energies are from GGA-PBE.

final energy: -3.26 eV per atom
energy of formation: 1.40 eV/atom
total magnetization: 1.599 μB/f.u.

a b c (Å): 5.8283 5.8283 5.1411
angles (deg): 90.00 90.00 90.00
Last column: nearest neighbours and their distance in Å.
Atoms (fractional coordinates):
Li (0.0000, 0.0000, 0.0000)  8 Bi 3.89, 4 Os 4.12
Tl (0.5000, 0.5000, 0.5000)  2 Os 2.57
Bi (0.0000, 0.5000, 0.5000)  2 Tl 2.91
Bi (0.5000, 0.0000, 0.5000)  2 Tl 2.91
Os (0.5000, 0.5000, 0.0000)  2 Tl 2.57



Record 17
Here is Li2VBiOs after structural relaxation from the Alexandria database. Energies are from GGA-PBE.

final energy: -4.04 eV per atom
energy of formation: 1.57 eV/atom
total magnetization: 0.001 μB/f.u.

a b c (Å): 4.4876 4.4876 5.0872
angles (deg): 90.00 90.00 90.00
Last column: nearest neighbours and their distance in Å.
Atoms (fractional coordinates):
Li (0.0000, 0.5000, 0.0000)  2 Bi 2.24
Li (0.5000, 0.0000, 0.0000)  2 Bi 2.24
V (0.0000, 0.0000, 0.5000)  2 Bi 2.54
Bi (0.0000, 0.0000, 0.0000)  4 Li 2.24
Os (0.5000, 0.5000, 0.5000)  4 V 3.17, 8 Li 3.39



Record 18
Here is LiBi2P2 after structural relaxation from the Alexandria database. Energies are from GGA-PBE.

final energy: -4.03 eV per atom
energy of formation: 0.07 eV/atom
total magnetization: 0.000 μB/f.u.
relative energy among the computed polymorphs: 0 meV per atom

a b c (Å): 7.6483 7.6483 4.0046
angles (deg): 90.00 90.00 90.00
Last column: nearest neighbours and their distance in Å.
Atoms (fractional coordinates):
Li (0.0000, 0.0000, 0.0000)  4 P 2.85
Li (0.5000, 0.5000, 0.0000)  4 P 2.85
Bi (0.1570, 0.3430, 0.5000)  2 P 2.76
Bi (0.3430, 0.8430, 0.5000)  2 P 2.76
Bi (0.6570, 0.1570, 0.5000)  2 P 2.76
Bi (0.8430, 0.6570, 0.5000)  2 P 2.76
P (0.1679, 0.6679, 0.0000)  2 Bi 2.76, 2 Li 2.85
P (0.3321, 0.1679, 0.0000)  2 Bi 2.76, 2 Li 2.85
P (0.6679, 0.8321, 0.0000)  2 Bi 2.76, 2 Li 2.85
P (0.8321, 0.3321, 0.0000)  2 Bi 2.76, 2 Li 2.85



Record 19
Here is LiBiP after structural relaxation from the Alexandria database. Energies are from GGA-PBE.

final energy: -3.71 eV per atom
energy of formation: 0.03 eV/atom
total magnetization: 0.000 μB/f.u.

a b c (Å): 5.4853 5.4853 5.4853
angles (deg): 142.01 142.01 54.81
Last column: nearest neighbours and their distance in Å.
Atoms (fractional coordinates):
Li (0.0000, 0.0000, 0.0000)  4 P 2.79, 1 Bi 2.84
Bi (0.7083, 0.7083, 0.0000)  1 Li 2.84, 4 P 3.02
P (0.3777, 0.3777, 0.0000)  4 Li 2.79, 4 Bi 3.02



Record 20
Here is Li3BiP after structural relaxation from the Alexandria database. Energies are from GGA-PBE.

final energy: -3.24 eV per atom
energy of formation: -0.23 eV/atom
total magnetization: 0.000 μB/f.u.
relative energy among the computed polymorphs: 0 meV per atom

a b c (Å): 4.6723 4.6723 4.6723
angles (deg): 90.00 90.00 90.00
Last column: nearest neighbours and their distance in Å.
Atoms (fractional coordinates):
Li (0.0000, 0.0000, 0.5000)  2 P 2.34
Li (0.0000, 0.5000, 0.0000)  2 P 2.34
Li (0.5000, 0.0000, 0.0000)  2 P 2.34
Bi (0.5000, 0.5000, 0.5000)  12 Li 3.30
P (0.0000, 0.0000, 0.0000)  6 Li 2.34